Dy2BiPbO6 | PBE-GGA | relaxed

Values from the calculation:
density of states at the Fermi level: 4.35 states/eV per cell
magnetization: 0.66 μB/f.u.
ΔE_f (raw): -2.260 eV per atom
VASP energy: -6.91 eV/atom

Cell: 5.9781 5.9781 6.1883 Å, 61.12 61.12 60.00°
Site moments in Bohr magnetons follow the coordinates.
Positions (direct):
Pb 0.8047 0.8047 0.5860  0.13
O 0.3915 0.7125 0.7509  0.10
O 0.8910 0.6451 0.2440  0.05
O 0.1451 0.3915 0.7509  0.10
O 0.2199 0.8910 0.2441  0.05
O 0.7126 0.1451 0.7509  0.10
O 0.6451 0.2199 0.2440  0.05
Dy 0.0205 0.0205 0.9385  0.01
Dy 0.5242 0.5242 0.4273  0.00
Bi 0.3071 0.3071 0.0787  0.01